Entry from the Alexandria database: a geometry-optimized Li2MnGeO4 structure (PBE+U).

The structure in POSCAR format:
```
Li2MnGeO4
1.0
6.538 0.000 0.000
0.000 5.561 0.000
0.000 0.000 5.136
Li Mn Ge O
4 2 2 8
Cartesian
1.630 0.937 0.000
1.639 4.624 2.568
4.899 4.624 2.568
4.908 0.937 0.000
0.000 1.829 2.579
3.269 3.732 0.011
0.000 3.769 5.102
3.269 1.792 2.534
0.000 2.051 0.483
0.000 3.796 3.319
1.457 4.600 0.569
1.812 0.961 3.137
3.269 1.765 0.751
3.269 3.510 3.051
4.726 0.961 3.137
5.081 4.600 0.569
```

Total magnetic moment = 5.00 μB per formula unit
Energy above the most stable polymorph in this dataset = 0 meV per atom
Final energy = -6.388 eV per atom